11
Lattice="4.159 -6.271 0.000 4.159 6.271 0.000 -2.099 0.000 5.627" Properties=species:S:1:pos:R:3 comment="Y8CoRu2 PBE optimized geometry" space_group="Cm, No. 8" formation_energy_mev_per_atom=-133 dos_ef_per_ev_atom=1.002 e_tot_ev_per_atom=-7.167 pbc="T T T"
Y 0.000 0.000 0.000
Y -0.097 1.647 3.335
Y 2.575 2.570 1.031
Y -0.097 -1.647 3.335
Y 2.975 1.619 4.481
Y 2.575 -2.570 1.031
Y 2.975 -1.619 4.481
Y 5.139 0.000 2.145
Co 2.994 0.000 0.113
Ru 1.438 3.898 3.970
Ru 1.438 -3.898 3.970